Material: Bi2PdW
Method: DFT, PBE
State: optimized geometry

Symmetry: No. 122
ΔH_f (0 K), eV per atom: 1.021
Energy above the lowest structure with this stoichiometry, meV/atom: 346.8

Structure (POSCAR):
```
Bi2PdW
1.0
-3.153 3.153 6.192
3.153 -3.153 6.192
3.153 3.153 -6.192
Bi Pd W
4 2 2
direct
0.123 0.625 0.998
0.375 0.373 0.498
0.627 0.125 0.002
0.875 0.877 0.502
0.250 0.750 0.500
0.500 0.500 0.000
0.000 0.000 0.000
0.750 0.250 0.500
```



Material: Li2NbNi
Method: DFT, PBE
State: optimized geometry

Symmetry: No. 225
ΔH_f (0 K), eV per atom: 0.518
Energy above the lowest structure with this stoichiometry, meV/atom: 0.0

Structure (POSCAR):
```
Li2NbNi
1.0
0.000 2.967 2.967
2.967 0.000 2.967
2.967 2.967 0.000
Li Nb Ni
2 1 1
direct
0.250 0.250 0.250
0.750 0.750 0.750
0.000 0.000 0.000
0.500 0.500 0.500
```



Material: PuTiMn4
Method: DFT, PBE
State: optimized geometry

Symmetry: No. 216
ΔH_f (0 K), eV per atom: 0.056

Structure (POSCAR):
```
PuTiMn4
1.0
0.000 3.462 3.462
3.462 0.000 3.462
3.462 3.462 0.000
Pu Ti Mn
1 1 4
direct
0.000 0.000 0.000
0.750 0.750 0.750
0.376 0.376 0.376
0.376 0.376 0.873
0.376 0.873 0.376
0.873 0.376 0.376
```



Material: Sr3CaLa2Te6
Method: DFT, PBE
State: optimized geometry

Formation energy without anion corrections, eV/atom: -1.645
Symmetry: No. 12

Structure (POSCAR):
```
Sr3CaLa2Te6
1.0
10.157 -2.310 0.000
10.157 2.310 0.000
-2.221 0.000 9.077
Sr Ca La Te
3 1 2 6
direct
0.000 0.000 0.000
0.333 0.333 0.664
0.667 0.667 0.336
0.000 0.000 0.500
0.332 0.332 0.162
0.668 0.668 0.838
0.164 0.164 0.588
0.167 0.167 0.083
0.498 0.498 0.258
0.502 0.502 0.742
0.833 0.833 0.917
0.836 0.836 0.412
```



Material: Mg2Ni2Au
Method: DFT, PBE
State: optimized geometry

Symmetry: No. 127
ΔH_f (0 K), eV per atom: -0.032
Energy above the lowest structure with this stoichiometry, meV/atom: 206.3

Structure (POSCAR):
```
Mg2Ni2Au
1.0
7.261 0.000 0.000
0.000 7.261 0.000
0.000 0.000 2.880
Mg Ni Au
4 4 2
direct
0.148 0.352 0.000
0.352 0.852 0.000
0.648 0.148 0.000
0.852 0.648 0.000
0.147 0.647 0.500
0.353 0.147 0.500
0.647 0.853 0.500
0.853 0.353 0.500
0.000 0.000 0.000
0.500 0.500 0.000
```



Material: ReC2
Method: DFT, PBE
State: optimized geometry

Symmetry: No. 129
ΔH_f (0 K), eV per atom: 1.230
Energy above the lowest structure with this stoichiometry, meV/atom: 790.3

Structure (POSCAR):
```
ReC2
1.0
2.949 0.000 0.000
0.000 2.949 0.000
0.000 0.000 6.151
Re C
2 4
direct
0.250 0.250 0.242
0.750 0.750 0.758
0.250 0.250 0.888
0.250 0.750 0.500
0.750 0.250 0.500
0.750 0.750 0.112
```



Material: In2HgI4
Method: DFT, PBE
State: optimized geometry

Formation energy without anion corrections, eV/atom: -0.291
Symmetry: No. 139
Energy above the lowest structure with this stoichiometry, meV/atom: 81.6

Structure (POSCAR):
```
In2HgI4
1.0
-3.135 3.135 7.856
3.135 -3.135 7.856
3.135 3.135 -7.856
In Hg I
2 1 4
direct
0.116 0.116 0.000
0.884 0.884 0.000
0.500 0.500 0.000
0.000 0.500 0.500
0.316 0.316 0.000
0.500 0.000 0.500
0.684 0.684 0.000
```



Material: Tb2HgO2
Method: DFT, PBE
State: optimized geometry

Formation energy without anion corrections, eV/atom: -2.512
Symmetry: No. 139

Structure (POSCAR):
```
Tb2HgO2
1.0
-2.005 2.005 5.983
2.005 -2.005 5.983
2.005 2.005 -5.983
Tb Hg O
2 1 2
direct
0.160 0.160 0.000
0.840 0.840 0.000
0.500 0.500 0.000
0.250 0.750 0.500
0.750 0.250 0.500
```



What uncorrected energy values result from the calculations? In sequence: -0.201, -0.162, -0.359, -0.170, -0.134, -0.333, -0.074, -0.235 hartree per atom.